Record 1
The following is a DFT calculation (PBE) of an optimized crystal structure of Pa3TcPb3N8.

POSCAR file:
```
Pa3TcPb3N8
1.0
6.956 0.000 -0.001
-3.478 6.024 -0.023
0.000 -3.999 6.213
Pa Pb N Tc
3 3 8 1
Direct
0.500 0.500 0.500
0.000 0.500 0.500
0.500 0.000 0.500
0.000 0.000 0.000
0.500 0.500 0.000
0.000 0.500 0.000
0.276 0.553 0.330
0.219 0.955 0.673
0.736 0.955 0.673
0.781 0.563 0.328
0.264 0.045 0.327
0.724 0.447 0.670
0.219 0.437 0.672
0.781 0.045 0.327
0.000 0.000 0.500
```

Computed properties:
The calculation puts the uncorrected formation energy at -0.51 eV/atom.

Record 2
The following is a DFT calculation (PBE) of an optimized crystal structure of PaTe2PbN.

POSCAR file:
```
PaTe2PbN
1.0
-1.742 2.814 -2.167
-3.304 -0.398 2.139
6.306 13.322 12.225
N Pa Pb Te
2 2 2 4
Direct
0.000 0.000 0.500
0.500 0.500 0.500
0.000 0.500 0.439
0.500 0.000 0.561
0.500 0.000 0.160
0.000 0.500 0.840
0.500 0.000 0.349
0.500 0.000 0.915
0.000 0.500 0.651
0.000 0.500 0.085
```

Computed properties:
The calculation puts the uncorrected formation energy at -0.98 eV/atom.

Record 3
The following is a DFT calculation (PBE) of an optimized crystal structure of Th3Pa4PbN12.

POSCAR file:
```
Th3Pa4PbN12
1.0
7.495 0.000 0.000
-2.498 7.067 0.000
-2.498 -3.533 6.120
Pa Pb N Th
4 1 12 3
Direct
0.500 0.500 0.500
0.000 0.500 0.000
0.000 0.000 0.500
0.500 0.000 0.000
0.000 0.000 0.000
0.109 0.310 0.799
0.891 0.690 0.201
0.201 0.510 0.310
0.690 0.201 0.891
0.201 0.891 0.690
0.310 0.201 0.510
0.490 0.690 0.799
0.690 0.799 0.490
0.799 0.490 0.690
0.310 0.799 0.109
0.510 0.310 0.201
0.799 0.109 0.310
0.500 0.000 0.500
0.500 0.500 0.000
0.000 0.500 0.500
```

Computed properties:
The calculation puts the uncorrected formation energy at -1.24 eV/atom.

Record 4
The following is a DFT calculation (PBE) of an optimized crystal structure of Pa4TlPbN8.

POSCAR file:
```
Pa4TlPbN8
1.0
7.146 0.000 0.000
3.573 6.188 0.000
3.573 2.063 5.739
N Pb Pa Tl
8 1 4 1
Direct
0.729 0.729 0.299
0.765 0.765 0.704
0.812 0.249 0.691
0.249 0.249 0.691
0.249 0.812 0.691
0.244 0.729 0.299
0.729 0.244 0.299
0.225 0.225 0.324
0.006 0.006 0.983
0.002 0.002 0.500
0.002 0.497 0.500
0.497 0.002 0.500
0.612 0.612 0.164
0.381 0.381 0.857
```

Computed properties:
The calculation puts the uncorrected formation energy at -0.88 eV/atom.

Record 5
The following is a DFT calculation (PBE) of an optimized crystal structure of PaVPbN4.

POSCAR file:
```
PaVPbN4
1.0
5.955 0.000 0.072
0.000 5.610 0.000
-2.251 0.000 6.856
Pa N V Pb
2 8 2 2
Direct
0.219 0.250 0.561
0.781 0.750 0.439
0.550 0.250 0.820
0.962 0.491 0.681
0.549 0.250 0.441
0.962 0.009 0.681
0.450 0.750 0.180
0.451 0.750 0.559
0.038 0.509 0.319
0.038 0.991 0.319
0.239 0.750 0.324
0.761 0.250 0.676
0.666 0.750 0.902
0.334 0.250 0.098
```

Computed properties:
The calculation puts the uncorrected formation energy at -0.70 eV/atom.

Record 6
The following is a DFT calculation (PBE) of an optimized crystal structure of Zr4PaPbN8.

POSCAR file:
```
Zr4PaPbN8
1.0
-6.491 -0.264 -1.198
-2.540 -5.112 -3.326
-3.786 -4.536 3.302
N Zr Pb Pa
8 4 1 1
Direct
0.757 0.757 0.257
0.236 0.800 0.727
0.236 0.236 0.727
0.756 0.756 0.731
0.800 0.236 0.727
0.229 0.757 0.257
0.757 0.229 0.257
0.232 0.232 0.303
0.496 0.001 0.503
0.001 0.001 0.503
0.001 0.496 0.503
0.626 0.626 0.122
0.372 0.372 0.885
0.000 0.000 0.000
```

Computed properties:
The calculation puts the uncorrected formation energy at -1.13 eV/atom.

Record 7
The following is a DFT calculation (PBE) of an optimized crystal structure of Pa2PdN.

POSCAR file:
```
Pa2PdN
1.0
-2.128 1.649 -1.424
0.142 -1.882 -2.391
-5.252 -4.195 2.991
Pa N Pd
2 1 1
Direct
0.000 0.000 0.794
0.000 0.000 0.206
0.500 0.500 0.000
0.500 0.500 0.500
```

Computed properties:
The calculation puts the uncorrected formation energy at -0.54 eV/atom. The calculation puts the distance to the lowest polymorph of the same formula at 0.329 eV per atom.

Record 8
The following is a DFT calculation (PBE) of an optimized crystal structure of Pa2PdN.

POSCAR file:
```
Pa2PdN
1.0
-0.535 -0.457 3.347
-0.493 -3.149 1.238
6.894 -1.918 2.587
N Pa Pd
1 2 1
Direct
0.500 0.500 0.500
0.768 0.768 0.696
0.232 0.232 0.304
0.000 0.000 0.000
```

Computed properties:
The calculation puts the uncorrected formation energy at -0.87 eV/atom. The calculation puts the distance to the lowest polymorph of the same formula at 0.000 eV per atom.

Copy entry 6 word for word.
The following is a DFT calculation (PBE) of an optimized crystal structure of Zr4PaPbN8.

POSCAR file:
```
Zr4PaPbN8
1.0
-6.491 -0.264 -1.198
-2.540 -5.112 -3.326
-3.786 -4.536 3.302
N Zr Pb Pa
8 4 1 1
Direct
0.757 0.757 0.257
0.236 0.800 0.727
0.236 0.236 0.727
0.756 0.756 0.731
0.800 0.236 0.727
0.229 0.757 0.257
0.757 0.229 0.257
0.232 0.232 0.303
0.496 0.001 0.503
0.001 0.001 0.503
0.001 0.496 0.503
0.626 0.626 0.122
0.372 0.372 0.885
0.000 0.000 0.000
```

Computed properties:
The calculation puts the uncorrected formation energy at -1.13 eV/atom.